Entry 1:
Compound: CaSm2MgAu4
Source: Alexandria
Functional: PBE-GGA
Structure: relaxed

## Properties
- Magnetization: 0.00 μB per formula unit
- Uncorrected energy: -97.04 eV per cell
- ΔH_f (0 K): -775 meV/atom

Cell: 5.0734 5.0734 24.7984 Å, 90.00 90.00 120.00°
With the nearest neighbours (Å) after each atom.
Space group R-3m (No. 166, hexagonal axes)
Symmetry-distinct sites (fractional):
Ca 0.0000 0.0000 0.0000 x3  8 Au 3.09-3.13
Sm 0.0000 0.0000 0.2463 x6  8 Au 3.02-3.26
Mg 0.0000 0.0000 0.5000 x3  8 Au 3.04-3.11
Au 0.0000 0.0000 0.1246 x6  4 Sm 3.02-3.07, 1 Ca 3.09, 3 Mg 3.11
Au 0.0000 0.0000 0.3776 x6  1 Mg 3.04, 4 Sm 3.12-3.26, 3 Ca 3.13


Entry 2:
Compound: Y3TaGe
Source: Alexandria
Functional: PBE-GGA
Structure: relaxed

## Properties
- Magnetization: 3.86 μB per formula unit
- Uncorrected energy: -33.13 eV per cell
- Offset from the most stable computed form: 0.0 meV/atom
- ΔH_f (0 K): 546 meV/atom

Cell: 5.3756 5.3756 5.3756 Å, 90.00 90.00 90.00°
With the nearest neighbours (Å) after each atom.
Space group Pm-3m (No. 221)
Symmetry-distinct sites (fractional):
Y 0.0000 0.0000 0.5000 x3  2 Ge 2.69
Ta 0.5000 0.5000 0.5000 x1  12 Y 3.80
Ge 0.0000 0.0000 0.0000 x1  6 Y 2.69


Entry 3:
Compound: W3Cl
Source: Alexandria
Functional: PBE-GGA
Structure: relaxed

## Properties
- Magnetization: 0.00 μB per formula unit
- Uncorrected energy: -37.69 eV per cell
- Offset from the most stable computed form: 181.6 meV/atom
- ΔE_f (raw): 0.75 eV per atom

Cell: 2.7737 4.4611 5.3786 Å, 90.00 100.38 90.00°
With the nearest neighbours (Å) after each atom.
Space group P2/m (No. 10)
Symmetry-distinct sites (fractional):
W 0.0000 0.0000 0.0000 x1  2 Cl 2.69, 6 W 2.76-2.77
W 0.2759 0.5000 0.7573 x2  2 Cl 2.66, 6 W 2.68-2.91
Cl 0.0000 0.0000 0.5000 x1  6 W 2.66-2.69, 2 Cl 2.77


Entry 4:
Compound: Tb3Pa4N8
Source: Alexandria
Functional: PBE-GGA
Structure: relaxed

## Properties
- Magnetization: 0.00 μB per formula unit
- Uncorrected energy: -281.86 eV per cell
- ΔE_f (raw): -1.50 eV per atom

Cell: 9.7837 9.9244 6.9222 Å, 90.00 134.18 90.00°
With the nearest neighbours (Å) after each atom.
Space group C2/m (No. 12)
Symmetry-distinct sites (fractional):
Tb 0.0000 0.0000 0.0000 x2  6 N 2.50-2.60
Tb 0.2500 0.2500 0.0000 x4  6 N 2.45-2.49
Pa 0.0000 0.0000 0.5000 x2  6 N 2.28-2.32
Pa 0.0000 0.5000 0.0000 x2  6 N 2.31-2.46
Pa 0.2500 0.2500 0.5000 x4  6 N 2.45-2.49
N 0.0000 0.2337 0.5000 x4  3 Pa 2.32-2.45, 2 Tb 2.49
N 0.0000 0.2522 0.0000 x4  3 Tb 2.45-2.50, 3 Pa 2.46-2.48
N 0.2398 0.0000 0.5078 x4  4 Pa 2.31-2.49, 1 Tb 2.52
N 0.2448 0.0000 0.9588 x4  2 Pa 2.28-2.31, 2 Tb 2.49


Entry 5:
Compound: RbNpIBr3
Source: Alexandria
Functional: PBE-GGA
Structure: relaxed

## Properties
- Magnetization: 3.91 μB per formula unit
- Uncorrected energy: -111.42 eV per cell
- ΔE_f (raw): -1.23 eV per atom

Cell: 7.3774 28.4118 7.4932 Å, 90.00 90.00 90.00°
With the nearest neighbours (Å) after each atom.
Space group Cmcm (No. 63)
Symmetry-distinct sites (fractional):
Rb 0.0000 0.2485 0.2500 x4  4 I 3.77-3.81
Np 0.0000 0.4649 0.7500 x4  5 Br 2.67-2.85
I 0.0000 0.2232 0.7500 x4  4 Rb 3.77-3.81, 1 Br 4.20
Br 0.0000 0.3710 0.7500 x4  1 Np 2.67
Br 0.2431 0.0000 0.0000 x8  2 Np 2.85


Entry 6:
Compound: Pr3InSe6
Source: Alexandria
Functional: PBE-GGA
Structure: relaxed

## Properties
- Magnetization: 0.00 μB per formula unit
- Uncorrected energy: -214.39 eV per cell
- Offset from the most stable computed form: 0.0 meV/atom
- ΔE_f (raw): -1.56 eV per atom

Cell: 14.5377 17.7556 4.1732 Å, 90.00 90.00 90.00°
With the nearest neighbours (Å) after each atom.
Space group Pnnm (No. 58)
Symmetry-distinct sites (fractional):
Pr 0.0401 0.2236 0.0000 x4  8 Se 3.02-3.14
Pr 0.1878 0.6449 0.0000 x4  7 Se 2.97-3.15
Pr 0.2483 0.8940 0.5000 x4  8 Se 3.03-3.33
In 0.0000 0.0000 0.5000 x2  2 Se 2.60
In 0.0000 0.5000 0.5000 x2  6 Se 2.78-2.79
Se 0.0225 0.3972 0.0000 x4  2 In 2.79, 1 Pr 3.09
Se 0.0944 0.9147 0.0000 x4  2 In 2.92, 3 Pr 3.08-3.14
Se 0.1110 0.1151 0.5000 x4  1 In 2.60
Se 0.1126 0.7479 0.5000 x4  5 Pr 2.98-3.26
Se 0.1814 0.2845 0.5000 x4  5 Pr 3.03-3.12, 1 Se 3.18
Se 0.1900 0.5187 0.5000 x4  1 In 2.78, 2 Pr 3.06


Entry 7:
Compound: TiMoS2
Source: Alexandria
Functional: PBE-GGA
Structure: relaxed

## Properties
- Magnetization: 1.85 μB per formula unit
- Uncorrected energy: -117.05 eV per cell
- Offset from the most stable computed form: 0.0 meV/atom
- ΔE_f (raw): -0.57 eV per atom

Cell: 6.0764 6.0764 6.0764 Å, 90.00 90.00 90.00°
With the nearest neighbours (Å) after each atom.
Space group Fm-3m (No. 225)
Symmetry-distinct sites (fractional):
Ti 0.0000 0.0000 0.0000 x4  8 S 2.63
Mo 0.0000 0.0000 0.5000 x4  8 S 2.63
S 0.2500 0.2500 0.2500 x8  4 Mo 2.63, 4 Ti 2.63


Entry 8:
Compound: P4I
Source: Alexandria
Functional: PBE-GGA
Structure: relaxed

## Properties
- Magnetization: 0.00 μB per formula unit
- Uncorrected energy: -13.27 eV per cell
- ΔE_f (raw): 1.98 eV per atom

Cell: 5.0719 5.0719 5.0719 Å, 90.00 90.00 90.00°
With the nearest neighbours (Å) after each atom.
Space group Pm-3m (No. 221)
Symmetry-distinct sites (fractional):
P 0.0000 0.0000 0.0000 x1  12 P 3.59
P 0.0000 0.5000 0.5000 x3  2 I 2.54
I 0.5000 0.5000 0.5000 x1  6 P 2.54